No. 1
Compound: Zr2HgOs
Source: Alexandria
Functional: PBE
Structure: optimized geometry

Computed properties:
SG: Pm
ρ: 11.781 g cm⁻³
Size of the total moment: 0.00 μB per formula unit
D(E_F): 2.30 states/eV/f.u.
E_tot: -29.37 eV/cell

a b c (Å): 4.5403 3.3144 5.6376
angles (deg): 72.26 90.00 90.00
With the nearest neighbours (Å) after each atom.
Fractional coordinates of all 4 atoms:
Zr 0.0000 0.9731 0.9201  4 Os 2.87, 3 Hg 2.92-2.97
Zr 0.5000 0.2920 0.3011  1 Os 2.61
Os 0.5000 0.5268 0.8160  5 Zr 2.61-2.87
Hg 0.0000 0.7080 0.4629  7 Zr 2.92-2.97, 2 Os 2.96

---

No. 2
Compound: ZrHgOs2
Source: Alexandria
Functional: PBE
Structure: optimized geometry

Computed properties:
SG: I-42d
ρ: 13.920 g cm⁻³
Size of the total moment: 0.00 μB per formula unit
D(E_F): 3.50 states/eV/f.u.
E_tot: -56.75 eV/cell

a b c (Å): 4.0950 4.0950 9.9935
angles (deg): 78.18 78.18 90.00
With the nearest neighbours (Å) after each atom.
Fractional coordinates of all 8 atoms:
Os 0.5472 0.1250 0.2500  2 Os 2.49, 2 Zr 2.69
Os 0.3750 0.4528 0.7500  2 Os 2.49, 2 Zr 2.69
Os 0.2028 0.6250 0.2500  2 Os 2.49, 2 Zr 2.69
Os 0.8750 0.7972 0.7500  2 Os 2.49, 2 Zr 2.69
Hg 0.7500 0.2500 0.5000  4 Zr 2.90, 4 Os 2.93
Hg 0.0000 0.0000 0.0000  4 Zr 2.90, 4 Os 2.93
Zr 0.2500 0.7500 0.5000  4 Os 2.69, 4 Hg 2.90
Zr 0.5000 0.5000 0.0000  4 Os 2.69, 4 Hg 2.90

---

No. 3
Compound: Zr2HgOs
Source: Alexandria
Functional: PBE
Structure: optimized geometry

Computed properties:
SG: I-42d
ρ: 11.090 g cm⁻³
Size of the total moment: 0.00 μB per formula unit
D(E_F): 0.04 states/eV/f.u.
E_tot: -55.79 eV/cell

a b c (Å): 7.7089 7.7089 6.1692
angles (deg): 51.33 51.33 90.00
With the nearest neighbours (Å) after each atom.
Fractional coordinates of all 8 atoms:
Zr 0.5826 0.1250 0.2500  2 Os 2.61
Zr 0.1674 0.6250 0.2500  2 Os 2.61
Zr 0.8750 0.8326 0.7500  2 Os 2.61
Zr 0.3750 0.4174 0.7500  2 Os 2.61
Hg 0.7500 0.2500 0.5000  2 Os 2.89, 4 Zr 3.05
Hg 0.0000 0.0000 0.0000  2 Os 2.89, 4 Zr 3.05
Os 0.2500 0.7500 0.5000  4 Zr 2.61, 2 Hg 2.89
Os 0.5000 0.5000 0.0000  4 Zr 2.61, 2 Hg 2.89

---

No. 4
Compound: ZrHgOs2
Source: Alexandria
Functional: PBE
Structure: optimized geometry

Computed properties:
SG: P2/m
ρ: 15.652 g cm⁻³
Size of the total moment: 0.00 μB per formula unit
D(E_F): 4.18 states/eV/f.u.
E_tot: -29.60 eV/cell

a b c (Å): 4.7034 2.8861 5.2540
angles (deg): 90.21 90.00 90.00
With the nearest neighbours (Å) after each atom.
Fractional coordinates of all 4 atoms:
Os 0.0000 0.9407 0.0261  3 Os 2.60-2.89, 2 Zr 2.78, 2 Hg 2.82
Os 0.0000 0.5593 0.4739  3 Os 2.60-2.89, 2 Zr 2.78, 2 Hg 2.82
Hg 0.5000 0.7500 0.7500  4 Os 2.82, 2 Hg 2.89, 4 Zr 2.99-3.00
Zr 0.5000 0.2500 0.2500  4 Os 2.78, 2 Zr 2.89, 4 Hg 2.99-3.00

---

No. 5
Compound: ZrHgOs2
Source: Alexandria
Functional: PBE
Structure: optimized geometry

Computed properties:
SG: R-3m
ρ: 15.462 g cm⁻³
Size of the total moment: 0.00 μB per formula unit
D(E_F): 3.34 states/eV/f.u.
E_tot: -29.43 eV/cell

a b c (Å): 9.1510 9.1510 9.1510
angles (deg): 19.17 19.17 19.17
With the nearest neighbours (Å) after each atom.
Fractional coordinates of all 4 atoms:
Zr 0.2500 0.2500 0.2500  6 Os 2.75, 6 Zr 3.05
Os 0.9950 0.9950 0.9950  3 Zr 2.75, 3 Hg 2.96, 6 Os 3.05
Os 0.5050 0.5050 0.5050  3 Zr 2.75, 3 Hg 2.96, 6 Os 3.05
Hg 0.7500 0.7500 0.7500  6 Os 2.96, 6 Hg 3.05

---

No. 6
Compound: ZrHgOs2
Source: Alexandria
Functional: PBE
Structure: optimized geometry

Computed properties:
SG: P4/mmm
ρ: 16.333 g cm⁻³
Size of the total moment: 0.00 μB per formula unit
D(E_F): 3.35 states/eV/f.u.
E_tot: -30.43 eV/cell

a b c (Å): 3.9466 4.1615 4.1615
angles (deg): 90.00 90.00 90.00
With the nearest neighbours (Å) after each atom.
Fractional coordinates of all 4 atoms:
Os 0.0000 0.5000 0.5000  4 Hg 2.87, 4 Zr 2.87, 4 Os 2.94
Os 0.0000 0.0000 0.0000  4 Zr 2.87, 4 Hg 2.87, 4 Os 2.94
Hg 0.5000 0.0000 0.5000  8 Os 2.87, 4 Zr 2.94
Zr 0.5000 0.5000 0.0000  8 Os 2.87, 4 Hg 2.94

---

No. 7
Compound: ZrHg2Os2
Source: Alexandria
Functional: PBE
Structure: optimized geometry

Computed properties:
SG: P4/mbm
ρ: 14.691 g cm⁻³
Size of the total moment: 0.00 μB per formula unit
D(E_F): 4.82 states/eV/f.u.
E_tot: -57.80 eV/cell

a b c (Å): 6.8637 6.8637 4.1887
angles (deg): 90.00 90.00 90.00
With the nearest neighbours (Å) after each atom.
Fractional coordinates of all 10 atoms:
Hg 0.8237 0.3237 0.5000  6 Os 2.85-2.97
Hg 0.6763 0.8237 0.5000  6 Os 2.85-2.97
Hg 0.1763 0.6763 0.5000  6 Os 2.85-2.97
Hg 0.3237 0.1763 0.5000  6 Os 2.85-2.97
Zr 0.5000 0.5000 0.0000  4 Os 2.71
Zr 0.0000 0.0000 0.0000  4 Os 2.71
Os 0.8748 0.6252 0.0000  1 Os 2.43, 2 Zr 2.71
Os 0.3748 0.8748 0.0000  1 Os 2.43, 2 Zr 2.71
Os 0.6252 0.1252 0.0000  1 Os 2.43, 2 Zr 2.71
Os 0.1252 0.3748 0.0000  1 Os 2.43, 2 Zr 2.71

---

No. 8
Compound: ZrHgOs2
Source: Alexandria
Functional: PBE
Structure: optimized geometry

Computed properties:
SG: Cm
ρ: 15.909 g cm⁻³
Size of the total moment: 0.00 μB per formula unit
D(E_F): 3.27 states/eV/f.u.
E_tot: -30.14 eV/cell

a b c (Å): 5.1741 5.1741 4.7888
angles (deg): 77.45 77.45 34.20
With the nearest neighbours (Å) after each atom.
Fractional coordinates of all 4 atoms:
Hg 0.2588 0.2588 0.2472  7 Os 2.80-3.02, 3 Zr 2.89-3.04, 2 Hg 3.04
Zr 0.4944 0.4944 0.5117  7 Os 2.71-3.01, 1 Hg 2.89
Os 0.7337 0.7337 0.7705  2 Os 2.65, 4 Hg 2.80-2.89, 1 Zr 2.91
Os 0.0130 0.0130 0.9706  2 Os 2.65, 2 Zr 2.71

---

No. 9
Compound: ZrHgOs2
Source: Alexandria
Functional: PBE
Structure: optimized geometry

Computed properties:
SG: Pmmm
ρ: 15.975 g cm⁻³
Size of the total moment: 0.00 μB per formula unit
D(E_F): 4.73 states/eV/f.u.
E_tot: -29.44 eV/cell

a b c (Å): 3.2822 4.7977 4.4377
angles (deg): 90.00 90.00 90.00
With the nearest neighbours (Å) after each atom.
Fractional coordinates of all 4 atoms:
Hg 0.0000 0.5000 0.5000  4 Os 2.76, 4 Zr 2.91
Os 0.5000 0.5000 0.0000  4 Hg 2.76, 4 Os 2.91
Os 0.0000 0.0000 0.0000  4 Zr 2.76, 4 Os 2.91
Zr 0.5000 0.0000 0.5000  4 Os 2.76, 4 Hg 2.91

---

No. 10
Compound: Zr2HgOs
Source: Alexandria
Functional: PBE
Structure: optimized geometry

Computed properties:
SG: Imm2
ρ: 11.737 g cm⁻³
Size of the total moment: 0.00 μB per formula unit
D(E_F): 2.99 states/eV/f.u.
E_tot: -29.05 eV/cell

a b c (Å): 5.8804 5.8804 4.7278
angles (deg): 66.26 66.26 33.14
With the nearest neighbours (Å) after each atom.
Fractional coordinates of all 4 atoms:
Zr 0.0340 0.0340 0.9657  2 Os 2.69, 4 Hg 2.96-2.97
Zr 0.2538 0.2538 0.2464  4 Os 2.90
Os 0.7394 0.7394 0.7611  6 Zr 2.69-2.90, 2 Hg 2.92
Hg 0.4728 0.4728 0.5268  2 Os 2.92, 6 Zr 2.96-3.26

---

No. 11
Compound: ZrHgOs2
Source: Alexandria
Functional: PBE
Structure: optimized geometry

Computed properties:
SG: I4/mmm
ρ: 16.047 g cm⁻³
Size of the total moment: 0.00 μB per formula unit
D(E_F): 5.83 states/eV/f.u.
E_tot: -29.91 eV/cell

a b c (Å): 5.0128 5.0128 5.0128
angles (deg): 131.31 131.31 71.32
With the nearest neighbours (Å) after each atom.
Fractional coordinates of all 4 atoms:
Hg 0.7500 0.2500 0.5000  8 Os 2.90, 4 Zr 2.92
Os 0.0000 0.0000 0.0000  4 Hg 2.90, 4 Zr 2.90, 4 Os 2.92
Os 0.5000 0.5000 0.0000  4 Zr 2.90, 4 Hg 2.90, 4 Os 2.92
Zr 0.2500 0.7500 0.5000  8 Os 2.90, 4 Hg 2.92

---

No. 12
Compound: ZrHgOs2
Source: Alexandria
Functional: PBE
Structure: optimized geometry

Computed properties:
SG: I-4m2
ρ: 16.213 g cm⁻³
Size of the total moment: 0.00 μB per formula unit
D(E_F): 4.61 states/eV/f.u.
E_tot: -30.07 eV/cell

a b c (Å): 5.1217 5.1217 5.1217
angles (deg): 133.78 133.78 67.42
With the nearest neighbours (Å) after each atom.
Fractional coordinates of all 4 atoms:
Os 0.2500 0.7500 0.5000  4 Hg 2.84, 4 Zr 2.93, 4 Os 2.93
Os 0.0000 0.0000 0.0000  4 Zr 2.84, 4 Hg 2.93, 4 Os 2.93
Zr 0.5000 0.5000 0.0000  8 Os 2.84-2.93, 4 Hg 2.93
Hg 0.7500 0.2500 0.5000  8 Os 2.84-2.93, 4 Zr 2.93

---

No. 13
Compound: ZrHg2Os2
Source: Alexandria
Functional: PBE
Structure: optimized geometry

Computed properties:
SG: I4/mmm
ρ: 14.299 g cm⁻³
Size of the total moment: 0.00 μB per formula unit
D(E_F): 5.28 states/eV/f.u.
E_tot: -28.31 eV/cell

a b c (Å): 3.9723 3.9723 7.0111
angles (deg): 73.54 73.54 90.00
With the nearest neighbours (Å) after each atom.
Fractional coordinates of all 5 atoms:
Zr 0.0000 0.0000 0.0000  8 Os 3.04
Os 0.5905 0.5905 0.8189  1 Os 2.33
Os 0.4095 0.4095 0.1811  1 Os 2.33
Hg 0.2500 0.7500 0.5000  4 Hg 2.81, 4 Os 2.85
Hg 0.7500 0.2500 0.5000  4 Hg 2.81, 4 Os 2.85

---

No. 14
Compound: ZrHgOs2
Source: Alexandria
Functional: PBE
Structure: optimized geometry

Computed properties:
SG: P4/mmm
ρ: 15.862 g cm⁻³
Size of the total moment: 0.00 μB per formula unit
D(E_F): 5.10 states/eV/f.u.
E_tot: -29.93 eV/cell

a b c (Å): 3.3773 3.3771 6.1705
angles (deg): 90.00 90.00 90.00
With the nearest neighbours (Å) after each atom.
Fractional coordinates of all 4 atoms:
Zr 0.5000 0.5000 0.2500  8 Os 2.83, 2 Hg 3.09
Os 0.0000 0.0000 0.4960  4 Zr 2.83, 4 Hg 2.86, 2 Os 3.04-3.13
Os 0.0000 0.0000 0.0040  4 Zr 2.83, 4 Hg 2.86, 2 Os 3.04-3.13
Hg 0.5000 0.5000 0.7500  8 Os 2.86, 2 Zr 3.09

---

No. 15
Compound: ZrHg3Os
Source: Alexandria
Functional: PBE
Structure: optimized geometry

Computed properties:
SG: Pm-3m
ρ: 10.888 g cm⁻³
Size of the total moment: 1.95 μB per formula unit
D(E_F): 6.13 states/eV/f.u.
E_tot: -15.11 eV/cell

a b c (Å): 5.1262 5.1262 5.1262
angles (deg): 90.00 90.00 90.00
With the nearest neighbours (Å) after each atom.
Fractional coordinates of all 5 atoms:
Hg 0.0000 0.5000 0.0000  2 Os 2.56
Hg 0.0000 0.0000 0.5000  2 Os 2.56
Hg 0.5000 0.0000 0.0000  2 Os 2.56
Zr 0.5000 0.5000 0.5000  12 Hg 3.62
Os 0.0000 0.0000 0.0000  6 Hg 2.56

---

No. 16
Compound: Zr5HgOs
Source: Alexandria
Functional: PBE
Structure: optimized geometry

Computed properties:
SG: C2/c
ρ: 9.156 g cm⁻³
Size of the total moment: 0.00 μB per formula unit
D(E_F): 8.39 states/eV/f.u.
E_tot: -109.10 eV/cell

a b c (Å): 5.4213 5.4213 10.8277
angles (deg): 79.45 79.45 85.33
With the nearest neighbours (Å) after each atom.
Fractional coordinates of all 14 atoms:
Zr 0.4824 0.7828 0.9416  1 Os 2.79, 2 Zr 2.90-3.10
Zr 0.9975 0.0025 0.2500  2 Os 2.71, 1 Hg 2.94, 2 Zr 3.02
Zr 0.2172 0.5176 0.5584  1 Os 2.79, 2 Zr 2.90-3.10
Zr 0.5176 0.2172 0.0584  1 Os 2.79, 2 Zr 2.90-3.10
Zr 0.0025 0.9975 0.7500  2 Os 2.71, 1 Hg 2.94, 2 Zr 3.02
Zr 0.4559 0.0731 0.3727  1 Os 2.62, 1 Zr 2.84
Zr 0.5441 0.9269 0.6273  1 Os 2.62, 1 Zr 2.84
Zr 0.9269 0.5441 0.1273  1 Os 2.62, 1 Zr 2.84
Zr 0.7828 0.4824 0.4416  1 Os 2.79, 2 Zr 2.90-3.10
Zr 0.0731 0.4559 0.8727  1 Os 2.62, 1 Zr 2.84
Hg 0.6025 0.3975 0.7500  9 Zr 2.94-3.26
Hg 0.3975 0.6025 0.2500  9 Zr 2.94-3.26
Os 0.0000 0.0000 0.0000  6 Zr 2.62-2.79
Os 0.0000 0.0000 0.5000  6 Zr 2.62-2.79

---

No. 17
Compound: ZrHgOs2
Source: Alexandria
Functional: PBE
Structure: optimized geometry

Computed properties:
SG: Cmmm
ρ: 15.717 g cm⁻³
Size of the total moment: 0.00 μB per formula unit
D(E_F): 4.98 states/eV/f.u.
E_tot: -29.53 eV/cell

a b c (Å): 2.8799 2.8799 9.2839
angles (deg): 90.00 90.00 112.71
With the nearest neighbours (Å) after each atom.
Fractional coordinates of all 4 atoms:
Zr 0.5000 0.5000 0.2500  4 Os 2.70, 4 Zr 2.88
Os 0.0000 0.0000 0.0161  2 Zr 2.70, 4 Os 2.88, 2 Hg 2.94
Os 0.0000 0.0000 0.4839  2 Zr 2.70, 4 Os 2.88, 2 Hg 2.94
Hg 0.5000 0.5000 0.7500  6 Hg 2.88-3.19, 4 Os 2.94

---

No. 18
Compound: Zr2HgOs2
Source: Alexandria
Functional: PBE
Structure: optimized geometry

Computed properties:
SG: P4/mbm
ρ: 13.165 g cm⁻³
Size of the total moment: 0.00 μB per formula unit
D(E_F): 3.05 states/eV/f.u.
E_tot: -80.64 eV/cell

a b c (Å): 7.7121 7.7121 3.2382
angles (deg): 90.00 90.00 90.00
With the nearest neighbours (Å) after each atom.
Fractional coordinates of all 10 atoms:
Os 0.3603 0.8603 0.0000  6 Zr 2.76-2.80, 2 Hg 2.98, 1 Os 3.05
Os 0.8603 0.6397 0.0000  6 Zr 2.76-2.80, 2 Hg 2.98, 1 Os 3.05
Os 0.1397 0.3603 0.0000  6 Zr 2.76-2.80, 2 Hg 2.98, 1 Os 3.05
Os 0.6397 0.1397 0.0000  6 Zr 2.76-2.80, 2 Hg 2.98, 1 Os 3.05
Hg 0.5000 0.5000 0.0000  4 Os 2.98, 2 Hg 3.24, 8 Zr 3.33
Hg 0.0000 0.0000 0.0000  4 Os 2.98, 2 Hg 3.24, 8 Zr 3.33
Zr 0.6559 0.8441 0.5000  6 Os 2.76-2.80
Zr 0.8441 0.3441 0.5000  6 Os 2.76-2.80
Zr 0.1559 0.6559 0.5000  6 Os 2.76-2.80
Zr 0.3441 0.1559 0.5000  6 Os 2.76-2.80

---

No. 19
Compound: ZrHg4Os2
Source: Alexandria
Functional: PBE
Structure: optimized geometry

Computed properties:
SG: I4/mmm
ρ: 10.531 g cm⁻³
Size of the total moment: 0.77 μB per formula unit
D(E_F): 8.52 states/eV/f.u.
E_tot: -23.00 eV/cell

a b c (Å): 5.4366 5.4366 7.8089
angles (deg): 69.63 69.63 90.00
With the nearest neighbours (Å) after each atom.
Fractional coordinates of all 7 atoms:
Hg 0.0000 0.5000 0.0000  2 Zr 2.72, 4 Os 2.94
Hg 0.2146 0.2146 0.5708  1 Os 2.76, 1 Zr 2.92
Hg 0.7854 0.7854 0.4292  1 Os 2.76, 1 Zr 2.92
Hg 0.5000 0.0000 0.0000  2 Zr 2.72, 4 Os 2.94
Zr 0.0000 0.0000 0.0000  6 Hg 2.72-2.92
Os 0.5821 0.5821 0.8359  1 Os 2.23
Os 0.4179 0.4179 0.1641  1 Os 2.23

---

No. 20
Compound: ZrHgOs2
Source: Alexandria
Functional: PBE
Structure: optimized geometry

Computed properties:
SG: P4mm
ρ: 15.775 g cm⁻³
Size of the total moment: 0.28 μB per formula unit
D(E_F): 2.34 states/eV/f.u.
E_tot: -30.88 eV/cell

a b c (Å): 2.8993 2.8993 8.4184
angles (deg): 90.00 90.00 90.00
With the nearest neighbours (Å) after each atom.
Fractional coordinates of all 4 atoms:
Hg 0.5000 0.5000 0.7657  4 Hg 2.90, 4 Os 3.03, 4 Zr 3.15
Zr 0.0000 0.0000 0.4814  4 Zr 2.90, 4 Os 2.99, 4 Hg 3.15
Os 0.0000 0.0000 0.0305  8 Os 2.61-2.90
Os 0.5000 0.5000 0.2224  8 Os 2.61-2.90